A plane-wave DFT calculation with GGA-PBE was carried out for a geometry-optimized TaCrRe structure.

- E above lowest polymorph: 0.0000 eV per atom
- DFT formation energy: -0.39 eV/f.u.
- V: 183.5 Å³/cell
- Raw total energy: -11.44 eV/atom

POSCAR file:
```
TaCrRe
1.0
8.069 0.000 0.000
0.000 2.549 4.459
0.000 -2.549 4.459
Ta Cr Re
4 4 4
Cartesian
1.476 0.000 0.000
2.473 0.000 5.959
5.596 0.000 5.959
6.593 0.000 0.000
0.000 -1.263 6.703
0.000 1.263 6.703
1.903 0.000 2.921
6.166 0.000 2.921
0.000 0.000 4.529
4.035 0.000 1.451
4.035 -1.282 3.715
4.035 1.282 3.715
```